{"formula": "KCeNbSnO6", "functional": "GGA-PBE", "state": "optimized geometry", "lattice_angstrom": [[-5.518, -1.308, 1.987], [-1.614, 1.500, 5.590], [-3.992, 4.400, 0.896]], "species": ["K", "Ce", "Nb", "Sn", "O", "O", "O", "O", "O", "O"], "fractional_positions": [[0.750, 0.750, 0.750], [0.000, 0.000, 0.000], [0.500, 0.500, 0.500], [0.250, 0.250, 0.250], [0.263, 0.737, 0.263], [0.737, 0.263, 0.737], [0.263, 0.737, 0.737], [0.737, 0.263, 0.263], [0.263, 0.263, 0.737], [0.737, 0.737, 0.263]], "e_form_raw_mev_per_atom": -2323, "dos_at_fermi_per_ev_cell": 0.00, "e_above_lowest_polymorph_ev_per_atom": 0.012}

=====

{"formula": "KSr2Cl", "functional": "GGA-PBE", "state": "optimized geometry", "lattice_angstrom": [[-0.299, -6.487, -2.645], [3.318, 4.403, -4.332], [3.656, -0.926, 1.858]], "species": ["Sr", "Sr", "K", "Cl"], "fractional_positions": [[0.000, 0.000, 0.000], [0.500, 0.500, 0.000], [0.000, 0.500, 0.500], [0.500, 0.000, 0.500]], "e_form_raw_mev_per_atom": -401, "dos_at_fermi_per_ev_cell": 2.99, "e_above_lowest_polymorph_ev_per_atom": 0.430}